Record 1
Computed, not measured: Ho3MgAg2 after structural relaxation at the PBE-GGA level of DFT.

abc: 3.657 3.657 11.063
angles: 90.00 90.00 90.00
Element x y z (fractional)
Ho 0.000 0.000 0.000
Ho 0.000 0.000 0.676
Ho 0.000 0.000 0.324
Mg 0.500 0.500 0.500
Ag 0.500 0.500 0.833
Ag 0.500 0.500 0.167

Calculated values
DFT total energy = -3.7409 eV per atom
SG = P4/mmm (123)


Record 2
Computed, not measured: ErMg6Zn6 after structural relaxation at the PBE-GGA level of DFT.

abc: 5.460 7.207 7.207
angles: 82.49 67.74 67.74
Element x y z (fractional)
Er 0.000 0.000 0.000
Mg 0.346 0.654 0.654
Mg 0.654 0.346 0.346
Mg 0.000 0.346 0.654
Mg 0.000 0.654 0.346
Mg 0.306 0.194 0.194
Mg 0.694 0.806 0.806
Zn 0.000 0.500 0.000
Zn 0.500 0.500 0.000
Zn 0.000 0.000 0.500
Zn 0.500 0.000 0.500
Zn 0.500 0.776 0.224
Zn 0.500 0.224 0.776

Calculated values
DFT total energy = -1.8228 eV per atom
SG = Immm (71)


Record 3
Computed, not measured: La3TbPr2Se6 after structural relaxation at the PBE-GGA level of DFT.

abc: 7.391 7.391 7.370
angles: 99.62 99.62 120.14
Element x y z (fractional)
La 0.171 0.829 0.500
La 0.829 0.171 0.500
La 0.500 0.500 0.500
Tb 0.000 0.000 0.000
Pr 0.333 0.667 0.000
Pr 0.667 0.333 0.000
Se 0.920 0.595 0.758
Se 0.758 0.758 0.246
Se 0.080 0.405 0.242
Se 0.595 0.920 0.758
Se 0.242 0.242 0.754
Se 0.405 0.080 0.242

Calculated values
DFT total energy = -6.0727 eV per atom
SG = C2/m (12)


Record 4
Computed, not measured: Pr3P5S12 after structural relaxation at the PBE-GGA level of DFT.

abc: 13.262 13.262 13.262
angles: 109.47 109.47 109.47
Element x y z (fractional)
Pr 0.750 0.375 0.125
Pr 0.875 0.750 0.125
Pr 0.375 0.750 0.625
Pr 0.250 0.125 0.375
Pr 0.875 0.125 0.250
Pr 0.375 0.625 0.250
Pr 0.625 0.375 0.750
Pr 0.125 0.875 0.750
Pr 0.750 0.875 0.625
Pr 0.625 0.250 0.375
Pr 0.125 0.250 0.875
Pr 0.250 0.625 0.875
P 0.125 0.375 0.250
P 0.000 0.500 0.000
P 0.000 0.000 0.000
P 0.375 0.250 0.125
P 0.500 0.000 0.500
P 0.500 0.500 0.000
P 0.125 0.750 0.375
P 0.750 0.125 0.875
P 0.750 0.625 0.375
P 0.375 0.125 0.750
P 0.625 0.875 0.250
P 0.500 0.500 0.500
P 0.500 0.000 0.000
P 0.000 0.000 0.500
P 0.250 0.375 0.625
P 0.250 0.875 0.125
P 0.000 0.500 0.500
P 0.875 0.250 0.625
P 0.625 0.750 0.875
P 0.875 0.625 0.750
S 0.702 0.119 0.025
S 0.323 0.525 0.406
S 0.975 0.381 0.298
S 0.525 0.202 0.119
S 0.583 0.702 0.677
S 0.975 0.594 0.177
S 0.323 0.798 0.417
S 0.094 0.917 0.119
S 0.594 0.975 0.677
S 0.702 0.583 0.177
S 0.798 0.475 0.381
S 0.823 0.906 0.025
S 0.119 0.702 0.525
S 0.381 0.406 0.083
S 0.083 0.906 0.381
S 0.417 0.119 0.594
S 0.083 0.177 0.202
S 0.475 0.677 0.094
S 0.823 0.917 0.298
S 0.119 0.417 0.094
S 0.381 0.975 0.798
S 0.594 0.619 0.417
S 0.906 0.823 0.525
S 0.798 0.323 0.917
S 0.406 0.381 0.583
S 0.094 0.177 0.475
S 0.202 0.677 0.083
S 0.177 0.083 0.702
S 0.619 0.025 0.202
S 0.881 0.583 0.906
S 0.525 0.323 0.906
S 0.583 0.881 0.406
S 0.917 0.823 0.798
S 0.917 0.094 0.619
S 0.881 0.298 0.475
S 0.177 0.094 0.975
S 0.619 0.594 0.917
S 0.406 0.025 0.323
S 0.298 0.417 0.823
S 0.202 0.525 0.619
S 0.906 0.083 0.881
S 0.677 0.202 0.583
S 0.475 0.798 0.881
S 0.025 0.406 0.823
S 0.417 0.298 0.323
S 0.025 0.619 0.702
S 0.677 0.475 0.594
S 0.298 0.881 0.975

Calculated values
DFT total energy = -5.1578 eV per atom
SG = Ia-3d (230)


Record 5
Computed, not measured: PrSmHoGa after structural relaxation at the PBE-GGA level of DFT.

abc: 5.422 5.422 5.422
angles: 60.00 60.00 60.00
Element x y z (fractional)
Pr 0.500 0.500 0.500
Ga 0.250 0.250 0.250
Ho 0.750 0.750 0.750
Sm 0.000 0.000 0.000

Calculated values
DFT total energy = -4.3713 eV per atom
SG = F-43m (216)


Record 6
Computed, not measured: KTlBiAu after structural relaxation at the PBE-GGA level of DFT.

abc: 5.463 5.463 5.463
angles: 60.00 60.00 60.00
Element x y z (fractional)
K 0.000 0.000 0.000
Tl 0.250 0.250 0.250
Au 0.750 0.750 0.750
Bi 0.500 0.500 0.500

Calculated values
DFT total energy = -2.7602 eV per atom
SG = F-43m (216)


Record 7
Computed, not measured: Nd3Sm4YTe8 after structural relaxation at the PBE-GGA level of DFT.

abc: 8.929 8.900 8.920
angles: 120.00 120.04 90.00
Element x y z (fractional)
Nd 0.500 0.500 0.000
Nd 0.500 0.500 0.500
Nd 0.000 0.500 0.500
Sm 0.500 0.000 0.000
Sm 0.500 0.000 0.500
Sm 0.000 0.000 0.000
Sm 0.000 0.000 0.500
Y 0.000 0.500 0.000
Te 0.248 0.751 0.003
Te 0.248 0.751 0.495
Te 0.248 0.245 0.497
Te 0.755 0.751 0.003
Te 0.245 0.249 0.997
Te 0.752 0.755 0.503
Te 0.752 0.249 0.505
Te 0.752 0.249 0.997

Calculated values
DFT total energy = -5.4317 eV per atom
SG = R-3m (166)


Record 8
Computed, not measured: Na2In2TeS6 after structural relaxation at the PBE-GGA level of DFT.

abc: 6.634 6.634 7.218
angles: 98.76 98.76 119.79
Element x y z (fractional)
Na 0.836 0.164 0.000
Na 0.164 0.836 0.000
In 0.332 0.668 0.500
In 0.668 0.332 0.500
Te 0.000 0.000 0.500
S 0.735 0.735 0.716
S 0.067 0.405 0.719
S 0.265 0.265 0.284
S 0.405 0.067 0.719
S 0.933 0.595 0.281
S 0.595 0.933 0.281

Calculated values
DFT total energy = -3.8846 eV per atom
SG = C2/m (12)


Record 9
Computed, not measured: AcPr2As3 after structural relaxation at the PBE-GGA level of DFT.

abc: 4.391 6.217 7.609
angles: 114.11 106.77 90.00
Element x y z (fractional)
Ac 0.000 0.500 0.000
Pr 0.666 0.166 0.333
Pr 0.334 0.834 0.667
As 0.327 0.327 0.654
As 0.000 0.000 0.000
As 0.673 0.673 0.346

Calculated values
DFT total energy = -6.0797 eV per atom
SG = Immm (71)


Record 10
Computed, not measured: CsCeTa2O7 after structural relaxation at the PBE-GGA level of DFT.

abc: 3.923 3.923 11.513
angles: 90.00 90.00 90.00
Element x y z (fractional)
Cs 0.000 0.000 0.500
Ce 0.000 0.000 0.000
Ta 0.500 0.500 0.195
Ta 0.500 0.500 0.805
O 0.500 0.500 0.648
O 0.000 0.500 0.157
O 0.500 0.000 0.157
O 0.000 0.500 0.843
O 0.500 0.000 0.843
O 0.500 0.500 0.352
O 0.500 0.500 0.000

Calculated values
DFT total energy = -8.8177 eV per atom
SG = P4/mmm (123)


Record 11
Computed, not measured: Rb2NiCl after structural relaxation at the PBE-GGA level of DFT.

abc: 5.867 5.867 5.867
angles: 60.00 60.00 60.00
Element x y z (fractional)
Ni 0.500 0.500 0.500
Rb 0.250 0.250 0.250
Rb 0.750 0.750 0.750
Cl 0.000 0.000 0.000

Calculated values
DFT total energy = -2.6528 eV per atom
SG = Fm-3m (225)


Record 12
Computed, not measured: Nd4SmY7 after structural relaxation at the PBE-GGA level of DFT.

abc: 6.911 8.863 9.167
angles: 84.17 94.78 47.67
Element x y z (fractional)
Nd 0.544 0.641 0.284
Nd 0.456 0.359 0.716
Nd 0.780 0.836 0.693
Nd 0.220 0.164 0.307
Sm 0.000 0.000 0.000
Y 0.739 0.510 0.952
Y 0.261 0.490 0.048
Y 0.984 0.324 0.639
Y 0.016 0.676 0.361
Y 0.292 0.815 0.619
Y 0.500 0.000 0.000
Y 0.708 0.185 0.381

Calculated values
DFT total energy = -5.6730 eV per atom
Energy relative to the lowest polymorph listed for this composition = 0.00 eV per formula unit
SG = P-1 (2)


Record 13
Computed, not measured: Sr2La2Fe after structural relaxation at the PBE-GGA level of DFT.

abc: 7.254 7.254 6.717
angles: 90.00 90.00 90.00
Element x y z (fractional)
Sr 0.186 0.686 0.500
Sr 0.686 0.814 0.500
Sr 0.814 0.314 0.500
Sr 0.314 0.186 0.500
Fe 0.000 0.000 0.000
Fe 0.500 0.500 0.000
La 0.317 0.817 0.000
La 0.817 0.683 0.000
La 0.683 0.183 0.000
La 0.183 0.317 0.000

Calculated values
DFT total energy = -4.0283 eV per atom
SG = P4/mbm (127)


Record 14
Computed, not measured: Pa2IrPb after structural relaxation at the PBE-GGA level of DFT.

abc: 3.670 3.670 9.260
angles: 78.57 78.57 60.00
Element x y z (fractional)
Pa 0.066 0.066 0.801
Pa 0.266 0.266 0.201
Ir 0.667 0.667 0.000
Pb 0.501 0.501 0.498

Calculated values
DFT total energy = -8.1610 eV per atom
Energy relative to the lowest polymorph listed for this composition = 0.36 eV per formula unit
SG = R3m (160)


Record 15
Computed, not measured: As7C6 after structural relaxation at the PBE-GGA level of DFT.

abc: 8.521 8.521 8.521
angles: 39.39 39.39 39.39
Element x y z (fractional)
As 0.422 0.913 0.422
As 0.913 0.422 0.422
As 0.422 0.422 0.913
As 0.578 0.087 0.578
As 0.578 0.578 0.087
As 0.087 0.578 0.578
As 0.500 0.500 0.500
C 0.904 0.904 0.904
C 0.096 0.096 0.096
C 0.849 0.849 0.849
C 0.151 0.151 0.151
C 0.633 0.633 0.633
C 0.367 0.367 0.367

Calculated values
DFT total energy = -5.2048 eV per atom
SG = R-3m (166)


Record 16
Computed, not measured: ScTi2BeO after structural relaxation at the PBE-GGA level of DFT.

abc: 4.137 4.126 4.137
angles: 90.00 90.00 90.00
Element x y z (fractional)
Sc 0.500 0.500 0.500
Be 0.000 0.500 0.000
O 0.000 0.000 0.000
Ti 0.000 0.000 0.500
Ti 0.500 0.000 0.000

Calculated values
DFT total energy = -6.8639 eV per atom
SG = P4/mmm (123)


Record 17
Computed, not measured: KReTc after structural relaxation at the PBE-GGA level of DFT.

abc: 7.483 7.484 7.484
angles: 156.31 156.31 33.75
Element x y z (fractional)
K 0.001 0.001 0.000
Re 0.706 0.706 0.000
Tc 0.293 0.293 0.000

Calculated values
DFT total energy = -7.0888 eV per atom
Energy relative to the lowest polymorph listed for this composition = 0.07 eV per formula unit
SG = I4mm (107)


Record 18
Computed, not measured: Cd2FeHg after structural relaxation at the PBE-GGA level of DFT.

abc: 3.007 3.007 8.528
angles: 90.00 90.00 89.97
Element x y z (fractional)
Cd 0.000 0.000 0.002
Cd 0.500 0.500 0.280
Fe 0.000 0.000 0.500
Hg 0.500 0.500 0.719

Calculated values
DFT total energy = -2.3832 eV per atom
SG = P4mm (99)


Record 19
Computed, not measured: MnHgS2 after structural relaxation at the PBE-GGA level of DFT.

abc: 6.651 6.591 5.308
angles: 67.01 114.18 100.64
Element x y z (fractional)
S 0.017 0.984 0.150
S 0.464 0.989 0.857
S 0.737 0.263 0.371
S 0.743 0.710 0.636
Mn 0.744 0.982 0.757
Mn 0.736 0.990 0.250
Hg 0.307 0.419 0.324
Hg 0.174 0.554 0.690

Calculated values
DFT total energy = -4.7343 eV per atom
Energy relative to the lowest polymorph listed for this composition = 0.43 eV per formula unit
SG = Cc (9)


no.,magnetic moment (μB per formula unit)
1,0.0
2,0.0
3,0.0
4,0.0
5,0.0
6,0.0
7,0.0
8,0.0
9,0.0
10,0.9
11,1.0
12,0.0
13,0.0
14,0.0
15,0.0
16,0.0
17,0.2
18,2.6
19,0.0